No. 1
Computed, not measured: crystalline Sr2Os3O10 at its relaxed geometry at the PBE level of DFT.

Output
Size of the total moment   0.5 μB per formula unit
DOS at the Fermi energy   7.5 states/eV/f.u.
Energy relative to the elements, uncorrected   -1.5469 eV per atom

a b c (Å): 18.426 5.736 7.620
angles (deg): 90.00 112.70 90.00
Space group C2/m (No. 12)
Asymmetric unit:
Sr 0.111 0.000 0.218 [4 per cell]
Sr 0.213 0.000 0.815 [4 per cell]
Os 0.000 0.220 0.500 [4 per cell]
Os 0.082 0.500 0.973 [4 per cell]
Os 0.181 0.500 0.522 [4 per cell]
O 0.000 0.286 0.000 [4 per cell]
O 0.022 0.000 0.713 [4 per cell]
O 0.024 0.500 0.683 [4 per cell]
O 0.111 0.242 0.524 [8 per cell]
O 0.132 0.500 0.244 [4 per cell]
O 0.144 0.256 0.964 [8 per cell]
O 0.231 0.500 0.781 [4 per cell]
O 0.250 0.250 0.500 [4 per cell]



No. 2
Computed, not measured: crystalline Sr3Te at its relaxed geometry at the PBE level of DFT.

Output
Size of the total moment   0.0 μB per formula unit
DOS at the Fermi energy   1.4 states/eV/f.u.
Energy relative to the elements, uncorrected   -0.7042 eV per atom
Polymorph energy (0 for the lowest one)   52.7 meV per atom

a b c (Å): 4.280 6.209 13.392
angles (deg): 90.00 90.00 90.00
Space group Immm (No. 71)
Asymmetric unit:
Sr 0.000 0.000 0.000 [2 per cell]
Sr 0.000 0.500 0.195 [4 per cell]
Te 0.000 0.000 0.500 [2 per cell]



No. 3
Computed, not measured: crystalline NaInAg2I6 at its relaxed geometry at the PBE level of DFT.

Output
Size of the total moment   0.0 μB per formula unit
Energy relative to the elements, uncorrected   -0.4861 eV per atom

a b c (Å): 7.671 7.681 8.320
angles (deg): 90.02 117.45 119.92
Space group P1 (No. 1)
Asymmetric unit:
Na 0.000 0.000 0.000 [1 per cell]
In 0.979 0.489 0.468 [1 per cell]
Ag 0.603 0.301 0.902 [1 per cell]
Ag 0.627 0.815 0.440 [1 per cell]
I 0.122 0.425 0.208 [1 per cell]
I 0.123 0.235 0.696 [1 per cell]
I 0.463 0.888 0.696 [1 per cell]
I 0.513 0.088 0.209 [1 per cell]
I 0.784 0.697 0.209 [1 per cell]
I 0.809 0.575 0.696 [1 per cell]



No. 4
Computed, not measured: crystalline UBrO at its relaxed geometry at the PBE level of DFT.

Output
Size of the total moment   0.0 μB per formula unit
DOS at the Fermi energy   1.7 states/eV/f.u.
Energy relative to the elements, uncorrected   -1.8911 eV per atom

a b c (Å): 7.026 7.566 6.275
angles (deg): 90.00 115.81 90.00
Space group P2_1/c (No. 14)
Asymmetric unit:
U 0.001 0.095 0.154 [4 per cell]
Br 0.297 0.108 0.686 [4 per cell]
O 0.122 0.699 0.720 [4 per cell]



No. 5
Computed, not measured: crystalline Y5Ag2Pt2 at its relaxed geometry at the PBE level of DFT.

Output
Size of the total moment   0.0 μB per formula unit
DOS at the Fermi energy   7.9 states/eV/f.u.
Energy of formation from the pure elements   -0.70 eV per atom

a b c (Å): 15.482 7.473 7.805
angles (deg): 90.00 90.00 90.00
Space group Cmce (No. 64)
Asymmetric unit:
Y 0.000 0.000 0.000 [4 per cell]
Y 0.129 0.171 0.326 [16 per cell]
Ag 0.210 0.000 0.000 [8 per cell]
Pt 0.000 0.130 0.633 [8 per cell]